Record 1
The following is a DFT calculation (GGA-PBEsol) of Zr2CoCu after structural relaxation.

Cell and atoms, written as POSCAR:
```
Zr2CoCu
1.0
-2.2621 1.9437 1.1086
-3.1010 -2.2959 -2.3021
-0.6041 -2.7154 3.5282
Zr Cu Co
2 1 1
Direct
0.0000 0.0000 0.5000 Zr
0.0000 0.5000 0.0000 Zr
0.5000 0.5000 0.5000 Cu
0.5000 0.0000 0.0000 Co
```

Calculated values
Calculated density, Mg/m³: 7.88
N(E_F), states/eV per cell: 3.7
SG: No. 123
DFT formation energy, eV/atom: -0.201

Record 2
The following is a DFT calculation (GGA-PBEsol) of ScAlTc2 after structural relaxation.

Cell and atoms, written as POSCAR:
```
ScAlTc2
1.0
-0.4411 -2.7620 -0.6214
2.2309 -1.7617 -0.3587
0.4656 -3.4562 8.4265
Tc Sc Al
2 1 1
Direct
0.7472 0.7472 0.7583 Tc
0.0064 0.0064 0.9808 Tc
0.2540 0.2540 0.2380 Sc
0.4924 0.4924 0.5228 Al
```

Calculated values
Calculated density, Mg/m³: 6.98
N(E_F), states/eV per cell: 4.7
SG: No. 160
DFT formation energy, eV/atom: -0.002

Record 3
The following is a DFT calculation (GGA-PBEsol) of InTeCl after structural relaxation.

Cell and atoms, written as POSCAR:
```
InTeCl
1.0
3.3456 0.0000 0.0000
0.0000 3.3456 0.0000
-1.6728 -1.6728 6.9859
Cl Te In
1 1 1
Direct
0.9676 0.9676 0.9352 Cl
0.6824 0.6824 0.3648 Te
0.3500 0.3500 0.7000 In
```

Calculated values
Calculated density, Mg/m³: 5.90
Energy relative to the elements, uncorrected, meV per atom: -302
N(E_F), states/eV per cell: 1.1
SG: No. 107

Record 4
The following is a DFT calculation (GGA-PBEsol) of CsGe3Cl after structural relaxation.

Cell and atoms, written as POSCAR:
```
CsGe3Cl
1.0
-0.6419 5.6327 -0.1274
-1.6153 -0.0611 5.4353
5.3976 0.6516 1.6115
Ge Cl Cs
3 1 1
Direct
0.0000 0.0000 0.5000 Ge
0.5000 0.0000 0.0000 Ge
0.0000 0.5000 0.0000 Ge
0.5000 0.5000 0.5000 Cl
0.0000 0.0000 0.0000 Cs
```

Calculated values
Calculated density, Mg/m³: 3.52
Energy relative to the elements, uncorrected, meV per atom: 1685
N(E_F), states/eV per cell: 7.8
SG: No. 221

Record 5
The following is a DFT calculation (GGA-PBEsol) of MgZrTc2 after structural relaxation.

Cell and atoms, written as POSCAR:
```
MgZrTc2
1.0
-2.2274 2.3595 0.3612
-2.3171 -1.6249 -3.6745
-0.2114 -3.0754 4.0310
Tc Mg Zr
2 1 1
Direct
0.7432 0.7686 0.4865 Tc
0.2568 0.2314 0.5135 Tc
0.5000 0.0000 0.0000 Mg
0.0000 0.5000 0.0000 Zr
```

Calculated values
Calculated density, Mg/m³: 7.83
N(E_F), states/eV per cell: 3.7
SG: No. 12
DFT formation energy, eV/atom: 0.183

Record 6
The following is a DFT calculation (GGA-PBEsol) of Na2CoSi4O10 after structural relaxation.

Cell and atoms, written as POSCAR:
```
Na2CoSi4O10
1.0
-0.2484 -3.9652 5.7279
1.1931 -3.8219 -6.5501
8.4587 4.7961 1.0241
Si O Na Co
8 20 4 2
Direct
0.7626 0.0623 0.8020 Si
0.9111 0.2882 0.1392 Si
0.2374 0.9377 0.1980 Si
0.0889 0.7118 0.8608 Si
0.6073 0.3634 0.7386 Si
0.1897 0.3800 0.7510 Si
0.3927 0.6366 0.2614 Si
0.8103 0.6200 0.2490 Si
0.8840 0.6411 0.4201 O
0.6536 0.8225 0.7248 O
0.5662 0.3959 0.5797 O
0.3464 0.1775 0.2752 O
0.0148 0.2032 0.8002 O
0.4338 0.6041 0.4203 O
0.9416 0.2106 0.2773 O
0.0584 0.7894 0.7227 O
0.4056 0.8581 0.2746 O
0.1160 0.3589 0.5799 O
0.7883 0.0998 0.9797 O
0.5747 0.6265 0.1821 O
0.4253 0.3735 0.8179 O
0.2512 0.6049 0.8614 O
0.1516 0.4562 0.1339 O
0.2117 0.9002 0.0203 O
0.8484 0.5438 0.8661 O
0.9852 0.7968 0.1998 O
0.5944 0.1419 0.7254 O
0.7488 0.3951 0.1386 O
0.7392 0.2766 0.4215 Na
0.2608 0.7234 0.5785 Na
0.6581 0.7585 0.9781 Na
0.3419 0.2415 0.0219 Na
0.7537 0.6906 0.5795 Co
0.2463 0.3093 0.4205 Co
```

Calculated values
Calculated density, Mg/m³: 2.88
Energy relative to the elements, uncorrected, meV per atom: -2378
N(E_F), states/eV per cell: 4.5
SG: No. 2

Record 7
The following is a DFT calculation (GGA-PBEsol) of PtC2BrF after structural relaxation.

Cell and atoms, written as POSCAR:
```
PtC2BrF
1.0
3.9032 0.0000 0.0000
0.0000 3.9032 0.0000
0.0000 0.0000 4.8228
Br F Pt C
1 1 1 2
Direct
0.0000 0.0000 0.0000 Br
0.5000 0.5000 0.5000 F
0.0000 0.0000 0.5000 Pt
0.0000 0.5000 0.0000 C
0.5000 0.0000 0.0000 C
```

Calculated values
Calculated density, Mg/m³: 7.19
Energy relative to the elements, uncorrected, meV per atom: 2781
N(E_F), states/eV per cell: 3.7
SG: No. 123

Record 8
The following is a DFT calculation (GGA-PBEsol) of Tl2IrCl after structural relaxation.

Cell and atoms, written as POSCAR:
```
Tl2IrCl
1.0
-3.1771 0.4537 0.4720
0.0700 -2.0975 2.4735
1.5720 5.8733 4.9360
Tl Cl Ir
2 1 1
Direct
0.0000 0.0000 0.2223 Tl
0.0000 0.0000 0.7777 Tl
0.5000 0.5000 0.5000 Cl
0.5000 0.5000 0.0000 Ir
```

Calculated values
Calculated density, Mg/m³: 12.82
Energy relative to the elements, uncorrected, meV per atom: 172
N(E_F), states/eV per cell: 2.1
SG: No. 123